The following is a DFT calculation (SCAN) of a PBEsol-optimized structure of AgSb2As.

Cell: 4.932 4.932 4.932 Å, 117.77 117.77 93.90°
Fractional positions:
Ag 0.000 0.000 0.000
Sb 0.250 0.750 0.500
Sb 0.750 0.250 0.500
As 0.500 0.500 0.000

Values from the calculation:
Uncorrected energy in eV per cell: -124.7
Energy relative to the elements, uncorrected in eV per atom: 0.345
Total magnetic moment in μB per formula unit: 0.00


The following is a DFT calculation (SCAN) of a PBEsol-optimized structure of AgSbAs.

Cell: 5.110 5.110 2.894 Å, 90.00 90.00 120.00°
Fractional positions:
Ag 0.000 0.000 0.000
Sb 0.667 0.333 0.000
As 0.333 0.667 0.000

Values from the calculation:
Uncorrected energy in eV per cell: -88.1
Energy relative to the elements, uncorrected in eV per atom: 0.230
Total magnetic moment in μB per formula unit: 0.00


| no. | relative energy among the computed polymorphs (eV/atom) |
| --- | --- |
| 1 | 0.182 |
| 2 | 0.000 |